Entry 1:
This record from Alexandria via LeMat-Bulk describes a geometry-optimized CrAsWBr2 structure. The functional is PBE-GGA.

Output
The formation energy (no corrections) comes out at 0.786 eV/atom. For the calculated volume, the calculation gives 26.71 A^3/atom. For the energy above the most stable polymorph in this dataset, the calculation gives 0.00 eV/f.u. The symmetry is P4/mmm. The value obtained for the theoretical density is 5.85 g/cm³. The total magnetization is 6.27 Bohr magnetons per cell.

Unit cell a=5.229 b=5.229 c=4.884 alpha=90.00 beta=90.00 gamma=90.00
Each line ends with the local moment (μB).
Sites, in units of the cell vectors:
Cr: 0.500 0.500 0.500  4.35
Br: 0.000 0.500 0.000  0.03
Br: 0.500 0.000 0.000  0.03
W: 0.000 0.000 0.000  1.13
As: 0.000 0.000 0.500  -0.13

---

Entry 2:
This record from Alexandria via LeMat-Bulk describes a geometry-optimized CrAsWBr2 structure. The functional is PBE-GGA.

Output
The formation energy (no corrections) comes out at 1.133 eV/atom. For the calculated volume, the calculation gives 24.41 A^3/atom. For the energy above the most stable polymorph in this dataset, the calculation gives 1.73 eV/f.u. The symmetry is P4/mmm. The value obtained for the theoretical density is 6.40 g/cm³. The total magnetization is 7.01 Bohr magnetons per cell.

Unit cell a=4.867 b=4.867 c=5.151 alpha=90.00 beta=90.00 gamma=90.00
Each line ends with the local moment (μB).
Sites, in units of the cell vectors:
As: 0.000 0.000 0.500  -0.38
Cr: 0.000 0.000 0.000  3.15
Br: 0.000 0.500 0.000  -0.01
Br: 0.500 0.000 0.000  -0.01
W: 0.500 0.500 0.500  3.22

---

Entry 3:
This record from Alexandria via LeMat-Bulk describes a geometry-optimized ZrCrAsBr2 structure. The functional is PBE-GGA.

Output
The formation energy (no corrections) comes out at 0.237 eV/atom. For the calculated volume, the calculation gives 24.31 A^3/atom. For the energy above the most stable polymorph in this dataset, the calculation gives 1.15 eV/f.u. The symmetry is P4/mmm. The value obtained for the theoretical density is 5.16 g/cm³. The total magnetization is 5.00 Bohr magnetons per cell.

Unit cell a=4.879 b=4.879 c=5.104 alpha=90.00 beta=90.00 gamma=90.00
Each line ends with the local moment (μB).
Sites, in units of the cell vectors:
Br: 0.500 0.000 0.000  -0.03
Br: 0.000 0.500 0.000  -0.03
Zr: 0.500 0.500 0.500  1.20
Cr: 0.000 0.000 0.000  3.30
As: 0.000 0.000 0.500  -0.19

---

Please write out number 1 again, unchanged.
This record from Alexandria via LeMat-Bulk describes a geometry-optimized CrAsWBr2 structure. The functional is PBE-GGA.

Output
The formation energy (no corrections) comes out at 0.786 eV/atom. For the calculated volume, the calculation gives 26.71 A^3/atom. For the energy above the most stable polymorph in this dataset, the calculation gives 0.00 eV/f.u. The symmetry is P4/mmm. The value obtained for the theoretical density is 5.85 g/cm³. The total magnetization is 6.27 Bohr magnetons per cell.

Unit cell a=5.229 b=5.229 c=4.884 alpha=90.00 beta=90.00 gamma=90.00
Each line ends with the local moment (μB).
Sites, in units of the cell vectors:
Cr: 0.500 0.500 0.500  4.35
Br: 0.000 0.500 0.000  0.03
Br: 0.500 0.000 0.000  0.03
W: 0.000 0.000 0.000  1.13
As: 0.000 0.000 0.500  -0.13

---

formation energy (no corrections) of number 2 (CrAsWBr2)?
1.133 eV/atom